1.
First-principles (GGA-PBE) data for a relaxed CoCuIr crystal, as listed in the Alexandria database.

Unit cell a=2.657 b=2.657 c=6.313 alpha=90.00 beta=90.00 gamma=120.00
Positions (direct):
Co 0.000 0.000 0.000
Ir 0.333 0.667 0.675
Cu 0.667 0.333 0.324

* DOS(E_F): 4.22 states/eV/f.u.
* energy of formation: 0.1015 eV/atom
* offset from the most stable computed form: 0.0 kJ/mol of atoms
* volume: 38.6 Å³ per cell
* crystal system: trigonal
* total energy: -6.5862 eV/atom


2.
First-principles (GGA-PBE) data for a relaxed CoCuIr2 crystal, as listed in the Alexandria database.

Unit cell a=2.656 b=2.656 c=8.781 alpha=90.00 beta=90.00 gamma=118.23
Positions (direct):
Cu 0.500 0.500 0.750
Ir 0.000 0.000 0.005
Ir 0.000 0.000 0.495
Co 0.500 0.500 0.250

* DOS(E_F): 5.66 states/eV/f.u.
* energy of formation: 0.2209 eV/atom
* offset from the most stable computed form: 14.8 kJ/mol of atoms
* volume: 54.6 Å³ per cell
* crystal system: orthorhombic
* total energy: -7.0101 eV/atom


3.
First-principles (GGA-PBE) data for a relaxed CoCuIr crystal, as listed in the Alexandria database.

Unit cell a=4.125 b=4.125 c=2.581 alpha=90.00 beta=90.00 gamma=120.00
Positions (direct):
Co 0.000 0.000 0.178
Ir 0.667 0.333 0.668
Cu 0.333 0.667 0.155

* DOS(E_F): 2.65 states/eV/f.u.
* energy of formation: 0.1898 eV/atom
* offset from the most stable computed form: 8.5 kJ/mol of atoms
* volume: 38.0 Å³ per cell
* crystal system: trigonal
* total energy: -6.4979 eV/atom